Computed, not measured: a crystal of BeAgP2 relaxed with PBEsol at the SCAN level of DFT.

```
4
Lattice="3.7486 0.0000 0.0000 0.0000 3.7486 0.0000 -1.8743 -1.8743 4.0529" Properties=species:S:1:pos:R:3 pbc="T T T"
P 0.0000 0.0000 0.0000
P 1.8743 0.0000 2.0264
Ag 1.8743 1.8743 0.0000
Be 0.0000 1.8743 2.0264
```

Properties
Energy: -13.441 eV/atom
DOS at the Fermi energy: 1.6 states/eV/f.u.